First-principles (PBE+U) data for an optimized crystal structure of CrPb2F7, as listed in Alexandria via LeMat-Bulk.

The structure in POSCAR format:
```
CrPb2F7
1.0
5.593 0.000 0.000
0.000 11.419 0.000
-0.265 0.000 9.711
Cr Pb F
4 8 28
Cartesian
1.028 1.526 2.817
0.896 4.183 7.673
4.432 7.236 2.038
4.300 9.893 6.893
1.227 0.675 8.388
1.359 5.035 3.533
1.375 7.860 9.133
1.507 9.268 4.278
3.821 2.151 5.433
3.953 3.559 0.578
3.969 6.384 6.178
4.101 10.744 1.322
-0.057 8.368 6.968
0.075 8.761 2.113
0.308 6.141 1.439
0.175 10.988 6.294
0.499 1.075 0.994
0.366 4.634 5.849
1.510 1.974 4.645
1.377 3.735 9.500
2.028 7.013 4.787
1.895 10.116 9.642
2.080 5.748 7.761
2.212 11.380 2.906
2.490 2.769 2.334
2.357 2.941 7.190
2.971 8.478 2.521
2.838 8.650 7.376
3.116 0.039 6.805
3.248 5.671 1.950
3.433 1.303 0.068
3.300 4.406 4.924
3.950 7.684 0.211
3.818 9.444 5.066
4.962 6.785 3.861
4.829 10.343 8.717
5.152 0.431 3.417
5.020 5.278 8.272
5.253 2.658 7.598
5.385 3.051 2.743
```

Results
total moment	3.00	μB/f.u.
uncorrected energy	-53.54	eV per formula unit
density of states at the Fermi level	0.00	states/eV per cell